[1]
GGA-PBE HfFe2AgS, relaxed; volume = 80.3 Å³ per cell; symmetry = P4/mmm, No. 123; formation energy without anion corrections = 4.23 kcal/mol of atoms; ρ = 8900 kg/m³
1.0
4.1207 0.0000 0.0000
0.0000 4.7264 0.0000
0.0000 0.0000 4.1207
S Ag Fe Hf
1 1 2 1
Direct
0.0000 0.0000 0.0000 S
0.5000 0.5000 0.5000 Ag
0.0000 0.0000 0.5000 Fe
0.5000 0.0000 0.0000 Fe
0.0000 0.5000 0.0000 Hf

[2]
GGA-PBE BaVH, relaxed; volume = 124.9 Å³ per cell; symmetry = P1, No. 1; offset from the most stable computed form = 0.087 eV per atom; ρ = 5034 kg/m³
1.0
-3.9036 -8.3917 1.8176
2.4277 -0.5912 2.2928
-3.1182 1.9661 1.8493
Ba V H
2 2 2
Direct
0.2204 0.7457 0.6233 Ba
0.6057 0.5554 0.1377 Ba
0.9425 0.9979 0.1384 V
0.8836 0.3192 0.5937 V
0.4530 0.2087 0.5263 H
0.7958 0.8978 0.7629 H

[3]
GGA-PBE BaOs3Cl, relaxed; volume = 145.9 Å³ per cell; symmetry = Pm-3m, No. 221; offset from the most stable computed form = 1.945 eV per atom; formation energy without anion corrections = 86.39 kcal/mol of atoms; ρ = 8464 kg/m³
1.0
5.2640 0.0000 0.0000
0.0000 5.2640 0.0000
0.0000 0.0000 5.2640
Os Cl Ba
3 1 1
Direct
0.0000 0.0000 0.5000 Os
0.0000 0.5000 0.0000 Os
0.5000 0.0000 0.0000 Os
0.5000 0.5000 0.5000 Cl
0.0000 0.0000 0.0000 Ba

Please write out number 1 again, unchanged.
GGA-PBE HfFe2AgS, relaxed; volume = 80.3 Å³ per cell; symmetry = P4/mmm, No. 123; formation energy without anion corrections = 4.23 kcal/mol of atoms; ρ = 8900 kg/m³
1.0
4.1207 0.0000 0.0000
0.0000 4.7264 0.0000
0.0000 0.0000 4.1207
S Ag Fe Hf
1 1 2 1
Direct
0.0000 0.0000 0.0000 S
0.5000 0.5000 0.5000 Ag
0.0000 0.0000 0.5000 Fe
0.5000 0.0000 0.0000 Fe
0.0000 0.5000 0.0000 Hf